No. 1
# PBE AcTbSe3, optimized geometry
# - Energy above the most stable polymorph in this dataset: 0.0 meV/atom
# - Raw formation energy: -1.963 eV per atom
# - VASP energy: -116.0 eV/cell
# - Theoretical density: 7.3 g cm⁻³
data_AcTbSe3
_chemical_formula_sum 'Ac4 Tb4 Se12'
_cell_length_a 7.9858
_cell_length_b 4.3265
_cell_length_c 16.3572
_cell_angle_alpha 90.00
_cell_angle_beta 90.00
_cell_angle_gamma 90.00
_symmetry_space_group_name_H-M 'P n m a'
_symmetry_Int_Tables_number 62
_symmetry_space_group_name_Hall '-P 2ac 2n'
loop_
_atom_site_label
_atom_site_type_symbol
_atom_site_fract_x
_atom_site_fract_y
_atom_site_fract_z
Ac1 Ac 0.1401 0.2500 0.1978
Tb1 Tb 0.2245 0.7500 0.4570
Se1 Se 0.0110 0.2500 0.3968
Se2 Se 0.1276 0.7500 0.0556
Se3 Se 0.1541 0.2500 0.7876

No. 2
# PBE Li2Pm3Tl3, optimized geometry
# - Density of states at the Fermi level: 4.53 states/eV/f.u.
# - VASP energy: -54.9 eV/cell
# - Theoretical density: 8.8 g cm⁻³
data_Li2Pm3Tl3
_chemical_formula_sum 'Li4 Pm6 Tl6'
_cell_length_a 17.9574
_cell_length_b 4.6725
_cell_length_c 4.9882
_cell_angle_alpha 90.00
_cell_angle_beta 106.03
_cell_angle_gamma 90.00
_symmetry_space_group_name_H-M 'C 1 2/m 1'
_symmetry_Int_Tables_number 12
_symmetry_space_group_name_Hall '-C 2y'
loop_
_atom_site_label
_atom_site_type_symbol
_atom_site_fract_x
_atom_site_fract_y
_atom_site_fract_z
Li1 Li 0.2424 0.0000 0.2428
Pm1 Pm 0.0000 0.0000 0.0000
Pm2 Pm 0.1408 0.0000 0.6414
Tl1 Tl 0.0000 0.5000 0.5000
Tl2 Tl 0.1522 0.5000 0.1526